VASP calculation (PBE-GGA) on crystalline MnRuAu2 at its relaxed geometry.

Calculated values
The calculation puts the calculated formation energy at 154 meV/atom. As for the excess energy over the best structure of this formula in the dataset: 0.0 kJ/mol of formula units. As for the total energy: -6.10 eV per atom. The symmetry is P4mm (99).

a b c (Å): 3.1465 3.1465 6.4602
angles (deg): 90.00 90.00 90.00
Fractional coordinates of all 4 atoms:
Au  0.5000  0.5000  0.2726
Au  0.0000  0.0000  0.9878
Mn  0.0000  0.0000  0.5238
Ru  0.5000  0.5000  0.7157